First-principles (PBE) data for a relaxed ScTc4W crystal, as listed in Alexandria via LeMat-Bulk.

a b c (Å): 5.159 5.159 5.159
angles (deg): 60.00 60.00 60.00
Sites, in units of the cell vectors:
Sc1 0.000 0.000 0.000
Tc1 0.124 0.625 0.625
Tc2 0.625 0.124 0.625
Tc3 0.625 0.625 0.124
Tc4 0.625 0.625 0.625
W1 0.250 0.250 0.250

Space-group type = F-43m
E_form = 0.0197 eV per atom

=====

First-principles (PBE) data for a relaxed Na2Cu2Hg crystal, as listed in Alexandria via LeMat-Bulk.

a b c (Å): 6.842 6.842 4.507
angles (deg): 90.00 90.00 90.00
Sites, in units of the cell vectors:
Na1 0.175 0.325 0.000
Na2 0.325 0.825 0.000
Na3 0.675 0.175 0.000
Na4 0.825 0.675 0.000
Cu1 0.124 0.624 0.500
Cu2 0.376 0.124 0.500
Cu3 0.624 0.876 0.500
Cu4 0.876 0.376 0.500
Hg1 0.000 0.000 0.500
Hg2 0.500 0.500 0.500

Space-group type = P4/mbm
E_form = 0.1072 eV per atom

=====

First-principles (PBE) data for a relaxed LiBrO3 crystal, as listed in Alexandria via LeMat-Bulk.

a b c (Å): 3.696 6.142 7.008
angles (deg): 78.01 76.69 89.82
Sites, in units of the cell vectors:
Li1 0.179 0.283 0.349
Li2 0.821 0.717 0.651
Br1 0.465 0.806 0.250
Br2 0.535 0.194 0.750
O1 0.212 0.603 0.206
O2 0.223 0.036 0.199
O3 0.390 0.751 0.505
O4 0.610 0.249 0.495
O5 0.777 0.964 0.801
O6 0.788 0.397 0.794

Space-group type = P-1
Formation energy from raw total energies = -0.58 eV/atom

=====

First-principles (PBE) data for a relaxed InAgAs2 crystal, as listed in Alexandria via LeMat-Bulk.

a b c (Å): 4.164 4.193 9.813
angles (deg): 90.00 90.00 90.00
Sites, in units of the cell vectors:
In1 0.000 0.000 0.000
In2 0.500 0.500 0.000
Ag1 0.000 0.000 0.500
Ag2 0.500 0.500 0.500
As1 0.000 0.500 0.285
As2 0.000 0.500 0.715
As3 0.500 0.000 0.285
As4 0.500 0.000 0.715

Space-group type = Cmmm
E_form = 0.2199 eV per atom

=====

First-principles (PBE) data for a relaxed Ba2InAg crystal, as listed in Alexandria via LeMat-Bulk.

a b c (Å): 5.674 5.674 8.042
angles (deg): 90.00 90.00 90.00
Sites, in units of the cell vectors:
Ba1 0.000 0.000 0.000
Ba2 0.000 0.500 0.250
Ba3 0.500 0.000 0.750
Ba4 0.500 0.500 0.500
In1 0.000 0.500 0.750
In2 0.500 0.000 0.250
Ag1 0.000 0.000 0.500
Ag2 0.500 0.500 0.000

Space-group type = I-4m2
E_form = -0.1858 eV per atom

=====

First-principles (PBE) data for a relaxed La6TbPr crystal, as listed in Alexandria via LeMat-Bulk.

a b c (Å): 5.231 5.231 10.476
angles (deg): 90.00 90.00 90.00
Sites, in units of the cell vectors:
La1 0.000 0.000 0.000
La2 0.000 0.000 0.500
La3 0.000 0.500 0.248
La4 0.000 0.500 0.752
La5 0.500 0.000 0.248
La6 0.500 0.000 0.752
Tb1 0.500 0.500 0.000
Pr1 0.500 0.500 0.500

Space-group type = P4/mmm
E_form = 0.0064 eV per atom

=====

First-principles (PBE) data for a relaxed SrHgPb2 crystal, as listed in Alexandria via LeMat-Bulk.

a b c (Å): 11.356 4.193 5.645
angles (deg): 90.00 109.93 90.00
Sites, in units of the cell vectors:
Sr1 0.000 0.000 0.000
Sr2 0.500 0.500 0.000
Hg1 0.251 0.500 0.243
Hg2 0.751 0.000 0.243
Pb1 0.231 0.000 0.703
Pb2 0.486 0.000 0.482
Pb3 0.731 0.500 0.703
Pb4 0.986 0.500 0.482

Space-group type = Cm
E_form = -0.2741 eV per atom

=====

First-principles (PBE) data for a relaxed ZrInAu4 crystal, as listed in Alexandria via LeMat-Bulk.

a b c (Å): 5.049 9.036 5.037
angles (deg): 90.00 90.10 90.00
Sites, in units of the cell vectors:
Zr1 0.000 0.000 0.000
Zr2 0.500 0.500 0.000
In1 0.000 0.500 0.500
In2 0.500 0.000 0.500
Au1 0.000 0.165 0.500
Au2 0.000 0.331 0.000
Au3 0.000 0.669 0.000
Au4 0.000 0.835 0.500
Au5 0.500 0.169 0.000
Au6 0.500 0.335 0.500
Au7 0.500 0.665 0.500
Au8 0.500 0.831 0.000

Space-group type = C2/m
E_form = -0.3848 eV per atom

=====

First-principles (PBE) data for a relaxed SbTe2PdBr crystal, as listed in Alexandria via LeMat-Bulk.

a b c (Å): 5.560 5.560 5.492
angles (deg): 90.00 90.00 90.00
Sites, in units of the cell vectors:
Sb1 0.000 0.000 0.000
Te1 0.000 0.500 0.500
Te2 0.500 0.000 0.500
Pd1 0.500 0.500 0.000
Br1 0.000 0.000 0.500

Space-group type = P4/mmm
Formation energy from raw total energies = 1.14 eV/atom

=====

First-principles (PBE) data for a relaxed CuHPd3 crystal, as listed in Alexandria via LeMat-Bulk.

a b c (Å): 7.326 4.595 9.578
angles (deg): 90.00 130.13 90.00
Sites, in units of the cell vectors:
Cu1 0.124 0.242 0.021
Cu2 0.124 0.258 0.521
Cu3 0.876 0.742 0.479
Cu4 0.876 0.758 0.979
H1 0.374 0.535 0.055
H2 0.374 0.965 0.555
H3 0.626 0.035 0.445
H4 0.626 0.465 0.945
Pd1 0.113 0.748 0.353
Pd2 0.113 0.752 0.853
Pd3 0.361 0.743 0.222
Pd4 0.361 0.757 0.722
Pd5 0.370 0.248 0.897
Pd6 0.370 0.252 0.397
Pd7 0.630 0.748 0.603
Pd8 0.630 0.752 0.103
Pd9 0.639 0.243 0.278
Pd10 0.639 0.257 0.778
Pd11 0.887 0.248 0.147
Pd12 0.887 0.252 0.647

Space-group type = P2_1/c
Calculated total energy = -93.18 eV per cell

=====

First-principles (PBE) data for a relaxed TeRu2W crystal, as listed in Alexandria via LeMat-Bulk.

a b c (Å): 3.092 4.542 9.291
angles (deg): 90.00 90.00 90.00
Sites, in units of the cell vectors:
Te1 0.000 0.000 0.000
Te2 0.500 0.500 0.500
Ru1 0.000 0.000 0.494
Ru2 0.000 0.500 0.280
Ru3 0.500 0.000 0.780
Ru4 0.500 0.500 0.994
W1 0.000 0.500 0.741
W2 0.500 0.000 0.241

Space-group type = Imm2
Formation energy from raw total energies = 0.42 eV/atom

=====

First-principles (PBE) data for a relaxed PbW3 crystal, as listed in Alexandria via LeMat-Bulk.

a b c (Å): 4.138 4.138 4.138
angles (deg): 90.00 90.00 90.00
Sites, in units of the cell vectors:
Pb1 0.000 0.000 0.000
W1 0.000 0.500 0.500
W2 0.500 0.000 0.500
W3 0.500 0.500 0.000

Space-group type = Pm-3m
E_form = 0.9768 eV per atom